The following is a PBE calculation of a relaxed La7Pr3Sm2 crystal, from the Alexandria database.

a = 6.0755 Å, b = 3.6645 Å, c = 19.6408 Å
α = 90.00°, β = 93.26°, γ = 90.00°
Space group P2/m (No. 10)
Symmetry-distinct sites (fractional):
La: 0.0000 0.0000 0.0000 x1
La: 0.1833 0.5000 0.1805 x2
La: 0.2560 0.5000 0.5345 x2
La: 0.3195 0.0000 0.8538 x2
Pr: 0.2206 0.0000 0.3646 x2
Pr: 0.5000 0.5000 0.0000 x1
Sm: 0.2897 0.5000 0.7033 x2

Calculated values
* size of the total moment: 0.0 μB/f.u.
* final energy: -4.7804 eV/atom
* DOS at the Fermi energy: 1.5900 states/eV per atom
* distance to the lowest polymorph of the same formula: 0.016 eV/atom